[1]
# LiNpCuF6, relaxed, DFT GGA-PBE
data_LiNpCuF6
_cell_length_a 5.5262
_cell_length_b 5.5262
_cell_length_c 9.2324
_cell_angle_alpha 90.00
_cell_angle_beta 90.00
_cell_angle_gamma 120.00
_space_group_name_H-M_alt 'P -3 1 c'
_space_group_IT_number 163
_space_group_name_Hall '-P 3 2c'
loop_
_atom_site_label
_atom_site_fract_x
_atom_site_fract_y
_atom_site_fract_z
Li1 0.3333 0.6667 0.2500
Np1 0.3333 0.6667 0.7500
Cu1 0.0000 0.0000 0.0000
F1 0.0174 0.3467 0.1291
# E = -6.093 eV/atom
# M_tot = 3.0 μB per formula unit
# formation energy (no corrections) = -2740 meV/atom

---

[2]
# TcRuPt, relaxed, DFT GGA-PBE
data_TcRuPt
_cell_length_a 2.7474
_cell_length_b 2.7474
_cell_length_c 6.7608
_cell_angle_alpha 90.00
_cell_angle_beta 90.00
_cell_angle_gamma 120.00
_space_group_name_H-M_alt 'P 3 m 1'
_space_group_IT_number 156
_space_group_name_Hall 'P 3 -2"'
loop_
_atom_site_label
_atom_site_fract_x
_atom_site_fract_y
_atom_site_fract_z
Tc1 0.0000 0.0000 0.0000
Ru1 0.3333 0.6667 0.6939
Pt1 0.6667 0.3333 0.3444
# E = -8.614 eV/atom
# E above lowest polymorph = 37.7 meV per atom
# M_tot = 0.0 μB per formula unit

---

[3]
# Ac3PaRh4, relaxed, DFT GGA-PBE
data_Ac3PaRh4
_cell_length_a 6.824
_cell_length_b 8.926
_cell_length_c 7.527
_cell_angle_alpha 90.00
_cell_angle_beta 112.77
_cell_angle_gamma 90.00
_space_group_name_H-M_alt 'P 1 2/c 1'
_space_group_IT_number 13
_space_group_name_Hall '-P 2yc'
loop_
_atom_site_label
_atom_site_fract_x
_atom_site_fract_y
_atom_site_fract_z
Ac1 0.000 0.100 0.250
Ac2 0.500 0.142 0.750
Ac3 0.500 0.399 0.250
Pa1 0.000 0.355 0.750
Rh1 0.144 0.388 0.471
Rh2 0.249 0.154 0.994
# E = -7.090 eV/atom
# M_tot = 0.0 μB per formula unit

---

[4]
# Rb2TmPa2Te6, relaxed, DFT GGA-PBE
data_Rb2TmPa2Te6
_cell_length_a 7.610
_cell_length_b 13.171
_cell_length_c 9.264
_cell_angle_alpha 90.00
_cell_angle_beta 106.03
_cell_angle_gamma 90.00
_space_group_name_H-M_alt 'C 1 2/m 1'
_space_group_IT_number 12
_space_group_name_Hall '-C 2y'
loop_
_atom_site_label
_atom_site_fract_x
_atom_site_fract_y
_atom_site_fract_z
Rb1 0.000 0.167 0.000
Tm1 0.000 0.000 0.500
Pa1 0.000 0.333 0.500
Te1 0.233 0.164 0.700
Te2 0.235 0.500 0.699
# E = -5.077 eV/atom
# M_tot = 3.0 μB per formula unit
# formation energy (no corrections) = -1055 meV/atom

---

- Which of these has the highest E?
  Rb2TmPa2Te6